[1]
{"formula": "SrAgRh2", "functional": "PBE", "state": "optimized geometry", "cell": [[4.369, 0.000, 0.000], [0.000, 4.369, 0.000], [0.000, 0.000, 8.075]], "species": ["Sr", "Sr", "Ag", "Ag", "Rh", "Rh", "Rh", "Rh"], "fractional_positions": [[0.000, 0.000, 0.000], [0.500, 0.500, 0.500], [0.000, 0.500, 0.750], [0.500, 0.000, 0.250], [0.000, 0.000, 0.500], [0.000, 0.500, 0.250], [0.500, 0.000, 0.750], [0.500, 0.500, 0.000]], "total_magnetization_mub_per_atom": 0.2375, "dos_at_fermi_per_ev_cell": 10.65, "dft_energy_ev_per_atom": -4.60}


[2]
{"formula": "Sr6Ag3Rh", "functional": "PBE", "state": "optimized geometry", "cell": [[7.649, 0.000, 0.000], [0.000, 8.509, 0.000], [-7.113, 0.000, 11.229]], "species": ["Sr", "Sr", "Sr", "Sr", "Sr", "Sr", "Sr", "Sr", "Sr", "Sr", "Sr", "Sr", "Ag", "Ag", "Ag", "Ag", "Ag", "Ag", "Rh", "Rh"], "fractional_positions": [[0.090, 0.047, 0.242], [0.090, 0.453, 0.742], [0.222, 0.694, 0.069], [0.222, 0.806, 0.569], [0.380, 0.168, 0.061], [0.380, 0.332, 0.561], [0.620, 0.668, 0.439], [0.620, 0.832, 0.939], [0.778, 0.194, 0.431], [0.778, 0.306, 0.931], [0.910, 0.547, 0.258], [0.910, 0.953, 0.758], [0.309, 0.113, 0.755], [0.309, 0.387, 0.255], [0.500, 0.000, 0.500], [0.500, 0.500, 0.000], [0.691, 0.613, 0.745], [0.691, 0.887, 0.245], [0.000, 0.000, 0.000], [0.000, 0.500, 0.500]], "total_magnetization_mub_per_atom": 0.0000, "dos_at_fermi_per_ev_cell": 12.16, "dft_energy_ev_per_atom": -2.82}


[3]
{"formula": "Sr8AgRh2", "functional": "PBE", "state": "optimized geometry", "cell": [[9.536, 0.000, 0.000], [-4.768, 8.258, 0.000], [0.000, 0.000, 6.365]], "species": ["Sr", "Sr", "Sr", "Sr", "Sr", "Sr", "Sr", "Sr", "Ag", "Rh", "Rh"], "fractional_positions": [[0.165, 0.332, 0.248], [0.167, 0.835, 0.248], [0.332, 0.167, 0.752], [0.333, 0.667, 0.748], [0.667, 0.333, 0.252], [0.668, 0.833, 0.248], [0.833, 0.165, 0.752], [0.835, 0.668, 0.752], [0.000, 0.000, 0.500], [0.333, 0.667, 0.251], [0.667, 0.333, 0.749]], "total_magnetization_mub_per_atom": 0.0000, "dos_at_fermi_per_ev_cell": 10.09, "dft_energy_ev_per_atom": -2.81}


[4]
{"formula": "SrAgRh2", "functional": "PBE", "state": "optimized geometry", "cell": [[9.614, 0.000, 0.000], [0.000, 3.049, 0.000], [-1.072, 0.000, 5.361]], "species": ["Sr", "Sr", "Ag", "Ag", "Rh", "Rh", "Rh", "Rh"], "fractional_positions": [[0.000, 0.000, 0.000], [0.500, 0.500, 0.000], [0.000, 0.500, 0.500], [0.500, 0.000, 0.500], [0.242, 0.000, 0.695], [0.258, 0.500, 0.305], [0.742, 0.500, 0.695], [0.758, 0.000, 0.305]], "total_magnetization_mub_per_atom": 0.0000, "dos_at_fermi_per_ev_cell": 6.87, "dft_energy_ev_per_atom": -4.63}